# 1
RbYC (PBE, optimized geometry); theoretical density = 2.793 g/cm³; E_form = 0.162 eV/atom; crystal system = triclinic
1.0
-7.486 1.181 4.002
-2.153 -6.086 -1.394
1.893 -1.869 2.973
C Rb Y
2 2 2
direct
0.479 0.940 0.134 C
0.521 0.060 0.866 C
0.148 0.242 0.869 Rb
0.852 0.758 0.131 Rb
0.421 0.764 0.631 Y
0.579 0.236 0.369 Y

# 2
RbYC (PBE, optimized geometry); theoretical density = 1.730 g/cm³; E_form = 1.381 eV/atom; crystal system = hexagonal
1.0
0.190 6.233 -3.163
-4.724 -4.770 -1.955
-5.442 3.056 5.695
Y C Rb
2 2 2
direct
0.000 0.000 0.250 Y
0.000 0.000 0.750 Y
0.000 0.000 0.500 C
0.000 0.000 0.000 C
0.333 0.667 0.250 Rb
0.667 0.333 0.750 Rb

Which of these has the highest E_form? number 2

Which value of E_form does entry 2 give? 1.381 eV/atom

Which of these has the highest E_form? number 2

Which formula does entry 1 have? RbYC